DFT (GGA-PBEsol) results for crystalline HoCuPb at its relaxed geometry.

Summary:
ΔH_f (0 K)   -0.36 eV/atom
Uncorrected energy   -4.78 eV per atom

Unit cell a=4.5388 b=4.5388 c=7.1824 alpha=90.00 beta=90.00 gamma=120.00
Space group P6_3/mmc (No. 194)
Asymmetric unit:
Ho 0.0000 0.0000 0.0000 (multiplicity 2)
Cu 0.3333 0.6667 0.2500 (multiplicity 2)
Pb 0.3333 0.6667 0.7500 (multiplicity 2)

=====

DFT (GGA-PBEsol) results for crystalline Ho5CuPb3 at its relaxed geometry.

Summary:
ΔH_f (0 K)   -0.52 eV/atom
Uncorrected energy   -5.09 eV per atom

Unit cell a=9.0248 b=9.0248 c=6.5156 alpha=90.00 beta=90.00 gamma=120.00
Space group P6_3/mcm (No. 193)
Asymmetric unit:
Ho 0.0000 0.2536 0.2500 (multiplicity 6)
Ho 0.3333 0.6667 0.0000 (multiplicity 4)
Cu 0.0000 0.0000 0.0000 (multiplicity 2)
Pb 0.0000 0.3894 0.7500 (multiplicity 6)

=====

DFT (GGA-PBEsol) results for crystalline HoCu4Pd at its relaxed geometry.

Summary:
ΔH_f (0 K)   -0.37 eV/atom
Uncorrected energy   -5.08 eV per atom

Unit cell a=6.9276 b=6.9276 c=6.9276 alpha=90.00 beta=90.00 gamma=90.00
Space group F-43m (No. 216)
Asymmetric unit:
Ho 0.0000 0.0000 0.0000 (multiplicity 4)
Cu 0.1242 0.1242 0.6242 (multiplicity 16)
Pd 0.2500 0.2500 0.2500 (multiplicity 4)

=====

DFT (GGA-PBEsol) results for crystalline PmHoCu2 at its relaxed geometry.

Summary:
ΔH_f (0 K)   -0.18 eV/atom
Uncorrected energy   -4.87 eV per atom

Unit cell a=6.8864 b=6.8864 c=6.8864 alpha=90.00 beta=90.00 gamma=90.00
Space group Fm-3m (No. 225)
Asymmetric unit:
Pm 0.0000 0.0000 0.0000 (multiplicity 4)
Ho 0.0000 0.0000 0.5000 (multiplicity 4)
Cu 0.2500 0.2500 0.2500 (multiplicity 8)

=====

DFT (GGA-PBEsol) results for crystalline Ho2CuPt at its relaxed geometry.

Summary:
ΔH_f (0 K)   -0.75 eV/atom
Uncorrected energy   -6.05 eV per atom

Unit cell a=6.8142 b=6.8142 c=6.8142 alpha=90.00 beta=90.00 gamma=90.00
Space group Fm-3m (No. 225)
Asymmetric unit:
Ho 0.2500 0.2500 0.2500 (multiplicity 8)
Cu 0.0000 0.0000 0.0000 (multiplicity 4)
Pt 0.0000 0.0000 0.5000 (multiplicity 4)

=====

DFT (GGA-PBEsol) results for crystalline HoCu3S3 at its relaxed geometry.

Summary:
E_form (uncorrected)   -903 meV/atom
Uncorrected energy   -5.35 eV per atom

Unit cell a=6.5644 b=6.5644 c=18.7067 alpha=90.00 beta=90.00 gamma=120.00
Space group R-3 (No. 148, hexagonal axes)
Asymmetric unit:
Ho 0.0000 0.0000 0.1665 (multiplicity 6)
Cu 0.0002 0.3428 0.6231 (multiplicity 18)
S 0.0007 0.3286 0.4167 (multiplicity 18)

=====

DFT (GGA-PBEsol) results for crystalline HoCuS2 at its relaxed geometry.

Summary:
E_form (uncorrected)   -1412 meV/atom
Uncorrected energy   -5.93 eV per atom

Unit cell a=13.1847 b=3.8753 c=6.1510 alpha=90.00 beta=90.00 gamma=90.00
Space group Pnma (No. 62)
Asymmetric unit:
Ho 0.1324 0.2500 0.0044 (multiplicity 4)
Cu 0.0419 0.7500 0.3699 (multiplicity 4)
S 0.0421 0.7500 0.7509 (multiplicity 4)
S 0.2043 0.7500 0.2459 (multiplicity 4)

=====

DFT (GGA-PBEsol) results for crystalline Ho3CuSiS7 at its relaxed geometry.

Summary:
E_form (uncorrected)   -1584 meV/atom
Uncorrected energy   -6.22 eV per atom

Unit cell a=9.7119 b=9.7119 c=5.5809 alpha=90.00 beta=90.00 gamma=120.00
Space group P6_3 (No. 173)
Asymmetric unit:
Ho 0.1288 0.3572 0.0000 (multiplicity 6)
Cu 0.0000 0.0000 0.4624 (multiplicity 2)
Si 0.3333 0.6667 0.5872 (multiplicity 2)
S 0.0948 0.2596 0.4791 (multiplicity 6)
S 0.1028 0.5821 0.7392 (multiplicity 6)
S 0.3333 0.6667 0.2109 (multiplicity 2)

=====

DFT (GGA-PBEsol) results for crystalline Ho3CuSnS7 at its relaxed geometry.

Summary:
E_form (uncorrected)   -1464 meV/atom
Uncorrected energy   -5.98 eV per atom

Unit cell a=9.5959 b=9.5959 c=6.0597 alpha=90.00 beta=90.00 gamma=120.00
Space group P6_3 (No. 173)
Asymmetric unit:
Ho 0.1487 0.3591 0.0000 (multiplicity 6)
Cu 0.0000 0.0000 0.1037 (multiplicity 2)
Sn 0.3333 0.6667 0.4346 (multiplicity 2)
S 0.0787 0.5618 0.2505 (multiplicity 6)
S 0.1141 0.2636 0.5693 (multiplicity 6)
S 0.3333 0.6667 0.8256 (multiplicity 2)

=====

DFT (GGA-PBEsol) results for crystalline HoCuSi at its relaxed geometry.

Summary:
E_form (uncorrected)   -683 meV/atom
Uncorrected energy   -5.69 eV per atom

Unit cell a=4.0784 b=4.0784 c=3.6507 alpha=90.00 beta=90.00 gamma=120.00
Space group P-6m2 (No. 187)
Asymmetric unit:
Ho 0.0000 0.0000 0.0000 (multiplicity 1)
Cu 0.6667 0.3333 0.5000 (multiplicity 1)
Si 0.3333 0.6667 0.5000 (multiplicity 1)

=====

DFT (GGA-PBEsol) results for crystalline HoCuSi at its relaxed geometry.

Summary:
E_form (uncorrected)   -709 meV/atom
Uncorrected energy   -5.72 eV per atom

Unit cell a=4.1147 b=4.1147 c=7.1569 alpha=90.00 beta=90.00 gamma=120.00
Space group P6_3mc (No. 186)
Asymmetric unit:
Ho 0.0000 0.0000 0.0000 (multiplicity 2)
Cu 0.3333 0.6667 0.2285 (multiplicity 2)
Si 0.3333 0.6667 0.7652 (multiplicity 2)

=====

DFT (GGA-PBEsol) results for crystalline Ho3Cu4Si4 at its relaxed geometry.

Summary:
E_form (uncorrected)   -699 meV/atom
Uncorrected energy   -5.71 eV per atom

Unit cell a=4.0714 b=6.4409 c=13.4643 alpha=90.00 beta=90.00 gamma=90.00
Space group Immm (No. 71)
Asymmetric unit:
Ho 0.0000 0.0000 0.0000 (multiplicity 2)
Ho 0.0000 0.5000 0.1295 (multiplicity 4)
Cu 0.0000 0.3088 0.3308 (multiplicity 8)
Si 0.0000 0.0000 0.2162 (multiplicity 4)
Si 0.0000 0.1863 0.5000 (multiplicity 4)